Record 1
# LaSm5Sb5, relaxed, DFT PBE
# total magnetization: 0.00 μB per formula unit
# uncorrected formation energy: -1.00 eV/atom
# V: 752.5 Å³/cell
# N(E_F): 0.58 states/eV/atom
data_LaSm5Sb5
_symmetry_space_group_name_H-M 'C 1 2/m 1'
_symmetry_Int_Tables_number 12
_symmetry_space_group_name_Hall '-C 2y'
_cell_length_a 14.049
_cell_length_b 6.323
_cell_length_c 8.922
_cell_angle_alpha 90.00
_cell_angle_beta 108.30
_cell_angle_gamma 90.00
loop_
_atom_site_label
_atom_site_type_symbol
_atom_site_fract_x
_atom_site_fract_y
_atom_site_fract_z
La1 La 0.000 0.000 0.000
Sm1 Sm 0.000 0.000 0.500
Sm2 Sm 0.165 0.500 0.334
Sm3 Sm 0.168 0.500 0.835
Sb1 Sb 0.000 0.500 0.000
Sb2 Sb 0.169 0.000 0.340
Sb3 Sb 0.170 0.000 0.829

---

Record 2
# La3SmSb4, relaxed, DFT PBE
# total magnetization: 0.00 μB per formula unit
# uncorrected formation energy: -1.25 eV/atom
# V: 546.4 Å³/cell
# N(E_F): 0.12 states/eV/atom
data_La3SmSb4
_symmetry_space_group_name_H-M 'C m m m'
_symmetry_Int_Tables_number 65
_symmetry_space_group_name_Hall '-C 2 2'
_cell_length_a 9.174
_cell_length_b 12.973
_cell_length_c 4.591
_cell_angle_alpha 90.00
_cell_angle_beta 90.00
_cell_angle_gamma 90.00
loop_
_atom_site_label
_atom_site_type_symbol
_atom_site_fract_x
_atom_site_fract_y
_atom_site_fract_z
La1 La 0.000 0.000 0.000
La2 La 0.250 0.250 0.500
Sm1 Sm 0.000 0.500 0.000
Sb1 Sb 0.000 0.253 0.000
Sb2 Sb 0.245 0.500 0.500

---

Record 3
# La2SmSb3, relaxed, DFT PBE
# total magnetization: 0.00 μB per formula unit
# uncorrected formation energy: -1.24 eV/atom
# V: 406.4 Å³/cell
# N(E_F): 0.15 states/eV/atom
data_La2SmSb3
_symmetry_space_group_name_H-M 'I m m m'
_symmetry_Int_Tables_number 71
_symmetry_space_group_name_Hall '-I 2 2'
_cell_length_a 4.580
_cell_length_b 6.472
_cell_length_c 13.713
_cell_angle_alpha 90.00
_cell_angle_beta 90.00
_cell_angle_gamma 90.00
loop_
_atom_site_label
_atom_site_type_symbol
_atom_site_fract_x
_atom_site_fract_y
_atom_site_fract_z
La1 La 0.000 0.000 0.168
Sm1 Sm 0.000 0.000 0.500
Sb1 Sb 0.000 0.500 0.162
Sb2 Sb 0.000 0.500 0.500

---

Record 4
# La3SmSb2, relaxed, DFT PBE
# total magnetization: 0.00 μB per formula unit
# uncorrected formation energy: -0.86 eV/atom
# V: 196.1 Å³/cell
# N(E_F): 1.09 states/eV/atom
data_La3SmSb2
_symmetry_space_group_name_H-M 'P -4 m 2'
_symmetry_Int_Tables_number 115
_symmetry_space_group_name_Hall 'P -4 -2'
_cell_length_a 4.663
_cell_length_b 4.663
_cell_length_c 9.016
_cell_angle_alpha 90.00
_cell_angle_beta 90.00
_cell_angle_gamma 90.00
loop_
_atom_site_label
_atom_site_type_symbol
_atom_site_fract_x
_atom_site_fract_y
_atom_site_fract_z
La1 La 0.000 0.000 0.000
La2 La 0.000 0.500 0.644
Sm1 Sm 0.500 0.500 0.000
Sb1 Sb 0.000 0.500 0.275